[1]
First-principles (PBE-GGA) data for a relaxed MnInSbI2 crystal, as listed in the Alexandria database.

Properties
Density: 5.19 g cm⁻³
V: 174.4 Å³/cell
Relative energy among the computed polymorphs: 0.000 eV per atom
Total DFT energy (no corrections): -0.13799 hartree per atom
Energy relative to the elements, uncorrected: 71 meV per atom
Crystal system: tetragonal

a b c (Å): 5.815 5.815 5.157
angles (deg): 90.00 90.00 90.00
Space group P4/mmm (No. 123)
Inequivalent atoms, fractional coordinates:
Mn: 0.000 0.000 0.000 x1
In: 0.500 0.500 0.500 x1
Sb: 0.000 0.000 0.500 x1
I: 0.000 0.500 0.000 x2

***

[2]
First-principles (PBE-GGA) data for a relaxed MnInSbI2 crystal, as listed in the Alexandria database.

Properties
Density: 4.45 g cm⁻³
V: 203.6 Å³/cell
Relative energy among the computed polymorphs: 0.534 eV per atom
Total DFT energy (no corrections): -0.11835 hartree per atom
Energy relative to the elements, uncorrected: 606 meV per atom
Crystal system: tetragonal

a b c (Å): 5.915 5.915 5.821
angles (deg): 90.00 90.00 90.00
Space group P4/mmm (No. 123)
Inequivalent atoms, fractional coordinates:
Mn: 0.000 0.000 0.000 x1
In: 0.500 0.500 0.500 x1
Sb: 0.500 0.500 0.000 x1
I: 0.000 0.500 0.500 x2

***

[3]
First-principles (PBE-GGA) data for a relaxed MnInSi2I crystal, as listed in the Alexandria database.

Properties
Density: 5.41 g cm⁻³
V: 108.3 Å³/cell
Total DFT energy (no corrections): -0.16945 hartree per atom
Energy relative to the elements, uncorrected: 250 meV per atom
Crystal system: tetragonal

a b c (Å): 4.474 4.474 5.409
angles (deg): 90.00 90.00 90.00
Space group P4/mmm (No. 123)
Inequivalent atoms, fractional coordinates:
Mn: 0.000 0.000 0.000 x1
In: 0.000 0.000 0.500 x1
Si: 0.000 0.500 0.000 x2
I: 0.500 0.500 0.500 x1

***

[4]
First-principles (PBE-GGA) data for a relaxed MnIn2SnI6 crystal, as listed in the Alexandria database.

Properties
Density: 4.66 g cm⁻³
V: 1244.7 Å³/cell
Total DFT energy (no corrections): -0.11832 hartree per atom
Energy relative to the elements, uncorrected: -425 meV per atom
Crystal system: trigonal

a b c (Å): 8.2800 8.2800 20.9629
angles (deg): 90.00 90.00 120.00
Space group R3 (No. 146, hexagonal axes)
Inequivalent atoms, fractional coordinates:
Mn: 0.0000 0.0000 0.0000 x3
In: 0.0000 0.0000 0.2963 x3
In: 0.0000 0.0000 0.7930 x3
Sn: 0.0000 0.0000 0.5010 x3
I: 0.0123 0.4156 0.7407 x9
I: 0.0864 0.7299 0.5813 x9

***

[5]
First-principles (PBE-GGA) data for a relaxed SrMnIn2I6 crystal, as listed in the Alexandria database.

Properties
Density: 4.38 g cm⁻³
V: 1289.5 Å³/cell
Total DFT energy (no corrections): -0.12274 hartree per atom
Energy relative to the elements, uncorrected: -777 meV per atom
Crystal system: trigonal

a b c (Å): 8.3765 8.3765 21.2214
angles (deg): 90.00 90.00 120.00
Space group R3 (No. 146, hexagonal axes)
Inequivalent atoms, fractional coordinates:
Sr: 0.0000 0.0000 0.0000 x3
Mn: 0.0000 0.0000 0.5009 x3
In: 0.0000 0.0000 0.2025 x3
In: 0.0000 0.0000 0.7043 x3
I: 0.0314 0.6186 0.2519 x9
I: 0.0760 0.3498 0.0937 x9

***

[6]
First-principles (PBE-GGA) data for a relaxed MnInTeI2 crystal, as listed in the Alexandria database.

Properties
Density: 4.31 g cm⁻³
V: 212.1 Å³/cell
Relative energy among the computed polymorphs: 0.534 eV per atom
Total DFT energy (no corrections): -0.11830 hartree per atom
Energy relative to the elements, uncorrected: 411 meV per atom
Crystal system: tetragonal

a b c (Å): 5.967 5.967 5.958
angles (deg): 90.00 90.00 90.00
Space group P4/mmm (No. 123)
Inequivalent atoms, fractional coordinates:
Mn: 0.000 0.000 0.000 x1
In: 0.500 0.500 0.500 x1
Te: 0.500 0.500 0.000 x1
I: 0.000 0.500 0.500 x2

***

[7]
First-principles (PBE-GGA) data for a relaxed MnInTe2I crystal, as listed in the Alexandria database.

Properties
Density: 4.83 g cm⁻³
V: 189.6 Å³/cell
Relative energy among the computed polymorphs: 0.580 eV per atom
Total DFT energy (no corrections): -0.12403 hartree per atom
Energy relative to the elements, uncorrected: 573 meV per atom
Crystal system: tetragonal

a b c (Å): 5.696 5.696 5.844
angles (deg): 90.00 90.00 90.00
Space group P4/mmm (No. 123)
Inequivalent atoms, fractional coordinates:
Mn: 0.000 0.000 0.000 x1
In: 0.500 0.500 0.500 x1
Te: 0.000 0.500 0.500 x2
I: 0.500 0.500 0.000 x1

***

[8]
First-principles (PBE-GGA) data for a relaxed MnInTe2I crystal, as listed in the Alexandria database.

Properties
Density: 5.62 g cm⁻³
V: 163.0 Å³/cell
Relative energy among the computed polymorphs: 0.000 eV per atom
Total DFT energy (no corrections): -0.14534 hartree per atom
Energy relative to the elements, uncorrected: -7 meV per atom
Crystal system: tetragonal

a b c (Å): 5.264 5.264 5.883
angles (deg): 90.00 90.00 90.00
Space group P4/mmm (No. 123)
Inequivalent atoms, fractional coordinates:
Mn: 0.000 0.000 0.000 x1
In: 0.500 0.500 0.500 x1
Te: 0.000 0.500 0.000 x2
I: 0.000 0.000 0.500 x1

***

Q: Among the records above, which one has the highest total DFT energy (no corrections)?
A: MnInTeI2